one | Material: NiAu8
Method: DFT, GGA-PBE
State: relaxed

Lattice parameters (Å, degrees): 4.0893 6.5147 6.5147 84.35 71.71 71.71
Closest atoms and distances in Å follow each position.
Sites, in units of the cell vectors:
Au 0.6717 0.3283 0.3283  1 Ni 2.87, 11 Au 2.88-3.00
Au 0.3385 0.3230 0.0000  10 Au 2.83-3.00, 2 Ni 2.86
Au 0.0000 0.6717 0.3283  1 Ni 2.87, 11 Au 2.88-3.00
Au 0.0000 0.3283 0.6717  1 Ni 2.87, 11 Au 2.88-3.00
Au 0.6615 0.6770 0.0000  10 Au 2.83-3.00, 2 Ni 2.86
Au 0.3283 0.6717 0.6717  1 Ni 2.87, 11 Au 2.88-3.00
Au 0.3385 0.0000 0.3230  10 Au 2.83-3.00, 2 Ni 2.86
Au 0.6615 0.0000 0.6770  10 Au 2.83-3.00, 2 Ni 2.86
Ni 0.0000 0.0000 0.0000  12 Au 2.86-2.87

## Properties
M_tot, μB/cell: 0.00
Calculated volume, Å³ per cell: 156.5
Space group: I4/mmm, No. 139

---

two | Material: NiAu8
Method: DFT, GGA-PBE
State: relaxed

Lattice parameters (Å, degrees): 7.4544 7.4544 7.4544 92.26 92.26 157.11
Closest atoms and distances in Å follow each position.
Sites, in units of the cell vectors:
Au 0.0000 0.3322 0.3322  10 Au 2.85-2.96
Au 0.0000 0.6678 0.6678  10 Au 2.85-2.96
Au 0.6569 0.6569 0.3138  2 Ni 2.73, 6 Au 2.85-2.96
Au 0.3431 0.3431 0.6862  2 Ni 2.73, 6 Au 2.85-2.96
Au 0.6569 0.3431 0.0000  2 Ni 2.73, 6 Au 2.85-2.96
Au 0.3431 0.6569 0.0000  2 Ni 2.73, 6 Au 2.85-2.96
Au 0.3322 0.0000 0.3322  10 Au 2.85-2.96
Au 0.6678 0.0000 0.6678  10 Au 2.85-2.96
Ni 0.0000 0.0000 0.0000  8 Au 2.73, 2 Ni 2.96

## Properties
M_tot, μB/cell: 0.00
Calculated volume, Å³ per cell: 157.9
Space group: I4/mmm, No. 139

---

Relative energies, unit meV/atom: one 0; two 13

---

one | Material: NpNi2Au
Method: DFT, GGA-PBE
State: relaxed

Lattice parameters (Å, degrees): 4.5218 4.5218 4.5218 60.00 60.00 60.00
Closest atoms and distances in Å follow each position.
Sites, in units of the cell vectors:
Ni 0.7500 0.7500 0.7500  4 Np 2.77, 4 Au 2.77
Ni 0.2500 0.2500 0.2500  4 Np 2.77, 4 Au 2.77
Np 0.0000 0.0000 0.0000  8 Ni 2.77
Au 0.5000 0.5000 0.5000  8 Ni 2.77

## Properties
M_tot, μB/cell: 3.09
Calculated volume, Å³ per cell: 65.4
Space group: Fm-3m, No. 225

---

two | Material: NpNi2Au
Method: DFT, GGA-PBE
State: relaxed

Lattice parameters (Å, degrees): 3.4063 4.3762 4.3762 90.00 90.00 90.00
Closest atoms and distances in Å follow each position.
Sites, in units of the cell vectors:
Ni 0.0000 0.5000 0.0000  4 Np 2.77, 4 Au 2.77, 4 Ni 3.09
Ni 0.0000 0.0000 0.5000  4 Np 2.77, 4 Au 2.77, 4 Ni 3.09
Au 0.5000 0.5000 0.5000  8 Ni 2.77, 4 Np 3.09
Np 0.5000 0.0000 0.0000  8 Ni 2.77, 4 Au 3.09

## Properties
M_tot, μB/cell: 3.72
Calculated volume, Å³ per cell: 65.2
Space group: P4/mmm, No. 123

---

three | Material: NpNi2Au
Method: DFT, GGA-PBE
State: relaxed

Lattice parameters (Å, degrees): 3.0490 3.0490 6.7149 90.00 90.00 90.00
Closest atoms and distances in Å follow each position.
Sites, in units of the cell vectors:
Np 0.5000 0.5000 0.0000  8 Ni 2.77, 4 Np 3.05
Au 0.5000 0.5000 0.5000  8 Ni 2.69
Ni 0.0000 0.0000 0.7405  4 Au 2.69, 4 Np 2.77
Ni 0.0000 0.0000 0.2595  4 Au 2.69, 4 Np 2.77

## Properties
M_tot, μB/cell: 2.04
Calculated volume, Å³ per cell: 62.4
Space group: P4/mmm, No. 123

---

Relative energies, unit meV/atom: one 0; two 73; three 91